(1)
! Zr2RePtC, optimized geometry, DFT PBE-GGA; values from VASP
! VASP energy   -7.97 eV/atom
! Density of states at the Fermi level   5.2 states/eV per cell
! Space group   P4/mmm
! Energy of formation from the pure elements   4.9 eV/f.u.
&SYSTEM
  ibrav = 0, nat = 5, ntyp = 4
/
ATOMIC_SPECIES
Zr 91.22 Zr.upf
Re 186.21 Re.upf
Pt 195.08 Pt.upf
C 12.01 C.upf
CELL_PARAMETERS angstrom
5.2040 0.0000 0.0000
0.0000 5.2040 0.0000
0.0000 0.0000 3.7058
ATOMIC_POSITIONS angstrom
Zr 0.0000 2.6020 0.0000
Zr 2.6020 0.0000 0.0000
Re 0.0000 0.0000 1.8529
Pt 2.6020 2.6020 0.0000
C 2.6020 2.6020 1.8529

---

(2)
! Pt3RhC, optimized geometry, DFT PBE-GGA; values from VASP
! VASP energy   -6.39 eV/atom
! Density of states at the Fermi level   8.4 states/eV per cell
! Space group   Pm-3m
! Energy of formation from the pure elements   2.7 eV/f.u.
&SYSTEM
  ibrav = 0, nat = 5, ntyp = 3
/
ATOMIC_SPECIES
Pt 195.08 Pt.upf
Rh 102.91 Rh.upf
C 12.01 C.upf
CELL_PARAMETERS angstrom
4.1579 0.0000 0.0000
0.0000 4.1579 0.0000
0.0000 0.0000 4.1579
ATOMIC_POSITIONS angstrom
Pt 0.0000 0.0000 2.0789
Pt 0.0000 2.0789 0.0000
Pt 2.0789 0.0000 0.0000
Rh 2.0789 2.0789 2.0789
C 0.0000 0.0000 0.0000

---

(3)
! Pt2RhC4, optimized geometry, DFT PBE-GGA; values from VASP
! VASP energy   -6.08 eV/atom
! Density of states at the Fermi level   4.2 states/eV per cell
! Space group   I4/mmm
! Energy of formation from the pure elements   13.8 eV/f.u.
&SYSTEM
  ibrav = 0, nat = 7, ntyp = 3
/
ATOMIC_SPECIES
Pt 195.08 Pt.upf
Rh 102.91 Rh.upf
C 12.01 C.upf
CELL_PARAMETERS angstrom
-2.0826 2.0826 5.2210
2.0826 -2.0826 5.2210
2.0826 2.0826 -5.2210
ATOMIC_POSITIONS angstrom
Pt 0.0000 0.0000 1.3572
Pt 0.0000 0.0000 9.0847
Rh 0.0000 0.0000 5.2210
C 2.0826 0.0000 0.0000
C 0.0000 0.0000 3.1954
C 0.0000 2.0826 0.0000
C 0.0000 0.0000 7.2466

---

(4)
! Pt3RhC, optimized geometry, DFT PBE-GGA; values from VASP
! VASP energy   -4.25 eV/atom
! Density of states at the Fermi level   7.5 states/eV per cell
! Space group   Pm-3m
! Energy of formation from the pure elements   13.5 eV/f.u.
&SYSTEM
  ibrav = 0, nat = 5, ntyp = 3
/
ATOMIC_SPECIES
Pt 195.08 Pt.upf
Rh 102.91 Rh.upf
C 12.01 C.upf
CELL_PARAMETERS angstrom
4.8202 0.0000 0.0000
0.0000 4.8202 0.0000
0.0000 0.0000 4.8202
ATOMIC_POSITIONS angstrom
Pt 0.0000 0.0000 2.4101
Pt 0.0000 2.4101 0.0000
Pt 2.4101 0.0000 0.0000
Rh 0.0000 0.0000 0.0000
C 2.4101 2.4101 2.4101

---

(5)
! Pt2RhC, optimized geometry, DFT PBE-GGA; values from VASP
! VASP energy   -6.63 eV/atom
! Density of states at the Fermi level   11.0 states/eV per cell
! Space group   I-42d
! Energy of formation from the pure elements   2.1 eV/f.u.
&SYSTEM
  ibrav = 0, nat = 8, ntyp = 3
/
ATOMIC_SPECIES
Pt 195.08 Pt.upf
Rh 102.91 Rh.upf
C 12.01 C.upf
CELL_PARAMETERS angstrom
-3.2403 3.2403 2.6292
3.2403 -3.2403 2.6292
3.2403 3.2403 -2.6292
ATOMIC_POSITIONS angstrom
Pt 4.8605 1.0280 -0.6573
Pt 1.0280 1.6202 0.6573
Pt -1.6202 2.2123 1.9719
Pt 2.2123 1.6202 3.2864
Rh 3.2403 0.0000 1.3146
Rh 0.0000 0.0000 2.6292
C 0.0000 0.0000 0.0000
C 0.0000 3.2403 1.3146

---

(6)
! Sc2PtRhC, optimized geometry, DFT PBE-GGA; values from VASP
! VASP energy   -7.76 eV/atom
! Density of states at the Fermi level   3.9 states/eV per cell
! Space group   P4/mmm
! Energy of formation from the pure elements   -3.5 eV/f.u.
&SYSTEM
  ibrav = 0, nat = 5, ntyp = 4
/
ATOMIC_SPECIES
Sc 44.96 Sc.upf
Pt 195.08 Pt.upf
Rh 102.91 Rh.upf
C 12.01 C.upf
CELL_PARAMETERS angstrom
4.5426 0.0000 0.0000
0.0000 4.5426 0.0000
0.0000 0.0000 3.8594
ATOMIC_POSITIONS angstrom
Sc 0.0000 2.2713 0.0000
Sc 2.2713 0.0000 0.0000
Pt 0.0000 0.0000 1.9297
Rh 2.2713 2.2713 1.9297
C 2.2713 2.2713 0.0000

---

(7)
! PtRh2WC, optimized geometry, DFT PBE-GGA; values from VASP
! VASP energy   -7.95 eV/atom
! Density of states at the Fermi level   9.3 states/eV per cell
! Space group   P4/mmm
! Energy of formation from the pure elements   3.2 eV/f.u.
&SYSTEM
  ibrav = 0, nat = 5, ntyp = 4
/
ATOMIC_SPECIES
Pt 195.08 Pt.upf
Rh 102.91 Rh.upf
W 183.84 W.upf
C 12.01 C.upf
CELL_PARAMETERS angstrom
4.0746 0.0000 0.0000
0.0000 4.0746 0.0000
0.0000 0.0000 4.2299
ATOMIC_POSITIONS angstrom
Pt 0.0000 0.0000 0.0000
Rh 0.0000 2.0373 2.1149
Rh 2.0373 0.0000 2.1149
W 2.0373 2.0373 0.0000
C 0.0000 0.0000 2.1149

---

(8)
! Y2PtRhC, optimized geometry, DFT PBE-GGA; values from VASP
! VASP energy   -7.81 eV/atom
! Density of states at the Fermi level   2.7 states/eV per cell
! Space group   P4/mmm
! Energy of formation from the pure elements   -3.5 eV/f.u.
&SYSTEM
  ibrav = 0, nat = 5, ntyp = 4
/
ATOMIC_SPECIES
Y 88.91 Y.upf
Pt 195.08 Pt.upf
Rh 102.91 Rh.upf
C 12.01 C.upf
CELL_PARAMETERS angstrom
4.9730 0.0000 0.0000
0.0000 4.9730 0.0000
0.0000 0.0000 3.8357
ATOMIC_POSITIONS angstrom
Y 0.0000 2.4865 0.0000
Y 2.4865 0.0000 0.0000
Pt 0.0000 0.0000 1.9178
Rh 2.4865 2.4865 1.9178
C 2.4865 2.4865 0.0000

---

(9)
! ZrPtRh2C, optimized geometry, DFT PBE-GGA; values from VASP
! VASP energy   -7.88 eV/atom
! Density of states at the Fermi level   3.4 states/eV per cell
! Space group   P4/mmm
! Energy of formation from the pure elements   -0.9 eV/f.u.
&SYSTEM
  ibrav = 0, nat = 5, ntyp = 4
/
ATOMIC_SPECIES
Zr 91.22 Zr.upf
Pt 195.08 Pt.upf
Rh 102.91 Rh.upf
C 12.01 C.upf
CELL_PARAMETERS angstrom
4.1239 0.0000 0.0000
0.0000 4.1239 0.0000
0.0000 0.0000 4.3203
ATOMIC_POSITIONS angstrom
Zr 0.0000 0.0000 0.0000
Pt 2.0619 2.0619 0.0000
Rh 0.0000 2.0619 2.1602
Rh 2.0619 0.0000 2.1602
C 2.0619 2.0619 2.1602

---

(10)
! RuPtC3, optimized geometry, DFT PBE-GGA; values from VASP
! VASP energy   -6.39 eV/atom
! Density of states at the Fermi level   1.9 states/eV per cell
! Space group   Pm-3m
! Energy of formation from the pure elements   11.1 eV/f.u.
&SYSTEM
  ibrav = 0, nat = 5, ntyp = 3
/
ATOMIC_SPECIES
Ru 101.07 Ru.upf
Pt 195.08 Pt.upf
C 12.01 C.upf
CELL_PARAMETERS angstrom
3.9655 0.0000 0.0000
0.0000 3.9655 0.0000
0.0000 0.0000 3.9655
ATOMIC_POSITIONS angstrom
Ru 0.0000 0.0000 0.0000
Pt 1.9828 1.9828 1.9828
C 0.0000 0.0000 1.9828
C 0.0000 1.9828 0.0000
C 1.9828 0.0000 0.0000

---

(11)
! Ru3PtC, optimized geometry, DFT PBE-GGA; values from VASP
! VASP energy   -8.34 eV/atom
! Density of states at the Fermi level   3.2 states/eV per cell
! Space group   Pm-3m
! Energy of formation from the pure elements   1.4 eV/f.u.
&SYSTEM
  ibrav = 0, nat = 5, ntyp = 3
/
ATOMIC_SPECIES
Ru 101.07 Ru.upf
Pt 195.08 Pt.upf
C 12.01 C.upf
CELL_PARAMETERS angstrom
4.0362 0.0000 0.0000
0.0000 4.0362 0.0000
0.0000 0.0000 4.0362
ATOMIC_POSITIONS angstrom
Ru 0.0000 0.0000 2.0181
Ru 0.0000 2.0181 0.0000
Ru 2.0181 0.0000 0.0000
Pt 2.0181 2.0181 2.0181
C 0.0000 0.0000 0.0000

---

(12)
! Ru3PtC, optimized geometry, DFT PBE-GGA; values from VASP
! VASP energy   -5.42 eV/atom
! Density of states at the Fermi level   8.5 states/eV per cell
! Space group   Pm-3m
! Energy of formation from the pure elements   16.0 eV/f.u.
&SYSTEM
  ibrav = 0, nat = 5, ntyp = 3
/
ATOMIC_SPECIES
Ru 101.07 Ru.upf
Pt 195.08 Pt.upf
C 12.01 C.upf
CELL_PARAMETERS angstrom
4.8094 0.0000 0.0000
0.0000 4.8094 0.0000
0.0000 0.0000 4.8094
ATOMIC_POSITIONS angstrom
Ru 0.0000 0.0000 2.4047
Ru 0.0000 2.4047 0.0000
Ru 2.4047 0.0000 0.0000
Pt 0.0000 0.0000 0.0000
C 2.4047 2.4047 2.4047

---

(13)
! Ru2PtC2, optimized geometry, DFT PBE-GGA; values from VASP
! VASP energy   -7.56 eV/atom
! Density of states at the Fermi level   8.1 states/eV per cell
! Space group   P4/mbm
! Energy of formation from the pure elements   5.2 eV/f.u.
&SYSTEM
  ibrav = 0, nat = 10, ntyp = 3
/
ATOMIC_SPECIES
Ru 101.07 Ru.upf
Pt 195.08 Pt.upf
C 12.01 C.upf
CELL_PARAMETERS angstrom
6.3170 0.0000 0.0000
0.0000 6.3170 0.0000
0.0000 0.0000 2.7449
ATOMIC_POSITIONS angstrom
Ru 0.9577 2.2008 0.0000
Ru 2.2008 5.3593 0.0000
Ru 4.1162 0.9577 0.0000
Ru 5.3593 4.1162 0.0000
Pt 0.0000 0.0000 1.3724
Pt 3.1585 3.1585 1.3724
C 1.0461 4.2046 1.3724
C 2.1124 1.0461 1.3724
C 4.2046 5.2709 1.3724
C 5.2709 2.1124 1.3724

---

(14)
! RuPtC3, optimized geometry, DFT PBE-GGA; values from VASP
! VASP energy   -5.93 eV/atom
! Density of states at the Fermi level   1.8 states/eV per cell
! Space group   Pm-3m
! Energy of formation from the pure elements   13.3 eV/f.u.
&SYSTEM
  ibrav = 0, nat = 5, ntyp = 3
/
ATOMIC_SPECIES
Ru 101.07 Ru.upf
Pt 195.08 Pt.upf
C 12.01 C.upf
CELL_PARAMETERS angstrom
3.9499 0.0000 0.0000
0.0000 3.9499 0.0000
0.0000 0.0000 3.9499
ATOMIC_POSITIONS angstrom
Ru 0.0000 0.0000 0.0000
Pt 1.9750 1.9750 1.9750
C 0.0000 1.9750 1.9750
C 1.9750 0.0000 1.9750
C 1.9750 1.9750 0.0000

---

(15)
! RuPt2C, optimized geometry, DFT PBE-GGA; values from VASP
! VASP energy   -6.95 eV/atom
! Density of states at the Fermi level   7.1 states/eV per cell
! Space group   I-42d
! Energy of formation from the pure elements   2.8 eV/f.u.
&SYSTEM
  ibrav = 0, nat = 8, ntyp = 3
/
ATOMIC_SPECIES
Ru 101.07 Ru.upf
Pt 195.08 Pt.upf
C 12.01 C.upf
CELL_PARAMETERS angstrom
-3.2920 3.2920 2.5161
3.2920 -3.2920 2.5161
3.2920 3.2920 -2.5161
ATOMIC_POSITIONS angstrom
Ru 0.0000 0.0000 0.0000
Ru 0.0000 3.2920 1.2580
Pt 1.6460 -1.0620 1.8871
Pt 2.2299 1.6460 0.6290
Pt 1.6460 4.3540 -0.6290
Pt 1.0620 1.6460 3.1451
C 3.2920 0.0000 1.2580
C 0.0000 0.0000 2.5161

---

(16)
! Ru2PtC2, optimized geometry, DFT PBE-GGA; values from VASP
! VASP energy   -7.96 eV/atom
! Density of states at the Fermi level   2.5 states/eV per cell
! Space group   I4/mmm
! Energy of formation from the pure elements   3.2 eV/f.u.
&SYSTEM
  ibrav = 0, nat = 5, ntyp = 3
/
ATOMIC_SPECIES
Ru 101.07 Ru.upf
Pt 195.08 Pt.upf
C 12.01 C.upf
CELL_PARAMETERS angstrom
-1.9083 1.9083 3.8176
1.9083 -1.9083 3.8176
1.9083 1.9083 -3.8176
ATOMIC_POSITIONS angstrom
Ru 1.9083 0.0000 1.9088
Ru 0.0000 1.9083 1.9088
Pt 0.0000 0.0000 0.0000
C 0.0000 0.0000 3.0439
C 0.0000 0.0000 4.5914

---

(17)
! Ru2PtC2, optimized geometry, DFT PBE-GGA; values from VASP
! VASP energy   -7.79 eV/atom
! Density of states at the Fermi level   3.8 states/eV per cell
! Space group   I4/mmm
! Energy of formation from the pure elements   4.1 eV/f.u.
&SYSTEM
  ibrav = 0, nat = 5, ntyp = 3
/
ATOMIC_SPECIES
Ru 101.07 Ru.upf
Pt 195.08 Pt.upf
C 12.01 C.upf
CELL_PARAMETERS angstrom
-1.6617 1.6617 5.3409
1.6617 -1.6617 5.3409
1.6617 1.6617 -5.3409
ATOMIC_POSITIONS angstrom
Ru 0.0000 0.0000 1.4737
Ru 0.0000 0.0000 9.2080
Pt 0.0000 0.0000 5.3409
C 1.6617 0.0000 2.6704
C 0.0000 1.6617 2.6704

---

(18)
! SbRu2PtC, optimized geometry, DFT PBE-GGA; values from VASP
! VASP energy   -4.90 eV/atom
! Density of states at the Fermi level   8.1 states/eV per cell
! Space group   P4/mmm
&SYSTEM
  ibrav = 0, nat = 5, ntyp = 4
/
ATOMIC_SPECIES
Sb 121.76 Sb.upf
Ru 101.07 Ru.upf
Pt 195.08 Pt.upf
C 12.01 C.upf
CELL_PARAMETERS angstrom
4.9775 0.0000 0.0000
0.0000 4.9775 0.0000
0.0000 0.0000 4.9236
ATOMIC_POSITIONS angstrom
Sb 0.0000 0.0000 0.0000
Ru 0.0000 2.4887 2.4618
Ru 2.4887 0.0000 2.4618
Pt 0.0000 0.0000 2.4618
C 2.4887 2.4887 0.0000

---

(19)
! Ru2PtCSe, optimized geometry, DFT PBE-GGA; values from VASP
! VASP energy   -5.84 eV/atom
! Density of states at the Fermi level   6.3 states/eV per cell
! Space group   P4/mmm
&SYSTEM
  ibrav = 0, nat = 5, ntyp = 4
/
ATOMIC_SPECIES
Ru 101.07 Ru.upf
Pt 195.08 Pt.upf
C 12.01 C.upf
Se 78.96 Se.upf
CELL_PARAMETERS angstrom
5.0529 0.0000 0.0000
0.0000 5.0529 0.0000
0.0000 0.0000 3.7153
ATOMIC_POSITIONS angstrom
Ru 0.0000 2.5265 0.0000
Ru 2.5265 0.0000 0.0000
Pt 0.0000 0.0000 0.0000
C 0.0000 0.0000 1.8577
Se 2.5265 2.5265 1.8577

---

(20)
! Tl2RuPtC, optimized geometry, DFT PBE-GGA; values from VASP
! VASP energy   -4.03 eV/atom
! Density of states at the Fermi level   3.8 states/eV per cell
! Space group   P4/mmm
! Energy of formation from the pure elements   9.1 eV/f.u.
&SYSTEM
  ibrav = 0, nat = 5, ntyp = 4
/
ATOMIC_SPECIES
Tl 204.38 Tl.upf
Ru 101.07 Ru.upf
Pt 195.08 Pt.upf
C 12.01 C.upf
CELL_PARAMETERS angstrom
5.3220 0.0000 0.0000
0.0000 5.3220 0.0000
0.0000 0.0000 4.7525
ATOMIC_POSITIONS angstrom
Tl 0.0000 2.6610 0.0000
Tl 2.6610 0.0000 0.0000
Ru 0.0000 0.0000 0.0000
Pt 0.0000 0.0000 2.3763
C 2.6610 2.6610 2.3763